The following is a DFT calculation (PBE) of a relaxed structure of SrDy2Cu2Ge2.

The structure in POSCAR format:
```
SrDy2Cu2Ge2
1.0
4.403 0.000 0.000
2.201 3.813 0.000
2.201 1.271 9.496
Dy Cu Ge Sr
2 2 2 1
Direct
0.871 0.871 0.388
0.129 0.129 0.612
0.413 0.413 0.761
0.587 0.587 0.239
0.253 0.253 0.241
0.747 0.747 0.759
0.000 0.000 0.000
```

* crystal system: trigonal
* E_tot: -0.166 Ha/atom
* DOS(E_F): 2.6 states/eV per cell

The following is a DFT calculation (PBE) of a relaxed structure of In3CoC.

The structure in POSCAR format:
```
In3CoC
1.0
4.599 0.000 0.000
0.000 4.599 0.000
0.000 0.000 4.599
In C Co
3 1 1
Direct
0.500 0.000 0.000
0.000 0.000 0.500
0.000 0.500 0.000
0.000 0.000 0.000
0.500 0.500 0.500
```

* energy relative to the lowest polymorph listed for this composition: 0 meV/atom
* crystal system: cubic
* E_tot: -0.136 Ha/atom
* DOS(E_F): 7.7 states/eV per cell

| no. | formation energy (eV per atom) | magnetic moment (Bohr magnetons per cell) |
| --- | --- | --- |
| 1 | -0.467 | 0.00 |
| 2 | 1.198 | 0.00 |